HoEr2Ga4: relaxed, PBE.

It has space group Immm (No. 71), with a = 4.108 Å, b = 4.214 Å, c = 18.099 Å, α = 90.00°, β = 90.00° and γ = 90.00°. Symmetry generates all atoms from Ho at (0.000, 0.000, 0.000), Er at (0.000, 0.500, 0.315), Ga at (0.000, 0.000, 0.433) and Ga at (0.000, 0.500, 0.148).

The formation energy from the elements comes out at -0.623 eV/atom. The magnetic moment comes out at 0.00 μB per atom. The total energy is -60.3 eV/cell.